(1)
A plane-wave DFT calculation with PBE was carried out for a relaxed structure of TaZnCuSi.

Geometry as POSCAR:
```
TaZnCuSi
1.0
4.020 1.096 1.231
0.607 2.299 3.637
1.793 -1.878 3.484
Cu Si Ta Zn
1 1 1 1
Direct
0.750 0.750 0.750
0.000 0.000 0.000
0.250 0.250 0.250
0.500 0.500 0.500
```

energy above the most stable polymorph in this dataset	0.000	eV per atom
space group	F-43m
total moment	0.16	μB/f.u.



(2)
A plane-wave DFT calculation with PBE was carried out for a relaxed structure of TaZnCuSi.

Geometry as POSCAR:
```
TaZnCuSi
1.0
0.000 3.086 3.086
3.086 0.000 3.086
3.086 3.086 0.000
Si Zn Cu Ta
1 1 1 1
Direct
0.000 0.000 0.000
0.250 0.250 0.250
0.750 0.750 0.750
0.500 0.500 0.500
```

energy above the most stable polymorph in this dataset	0.287	eV per atom
space group	F-43m
total moment	0.43	μB/f.u.



(3)
A plane-wave DFT calculation with PBE was carried out for a relaxed structure of ZrTaCuSi.

Geometry as POSCAR:
```
ZrTaCuSi
1.0
2.015 -3.394 -2.249
-1.907 -4.123 -0.076
-1.835 -1.583 -3.843
Cu Zr Si Ta
1 1 1 1
Direct
0.750 0.750 0.750
0.500 0.500 0.500
0.000 0.000 0.000
0.250 0.250 0.250
```

energy above the most stable polymorph in this dataset	0.000	eV per atom
space group	F-43m
total moment	0.00	μB/f.u.



(4)
A plane-wave DFT calculation with PBE was carried out for a relaxed structure of TbCu4Si2.

Geometry as POSCAR:
```
TbCu4Si2
1.0
1.995 -6.453 0.000
1.995 6.453 0.000
0.000 0.000 3.995
Tb Cu Si
1 4 2
Direct
0.000 0.000 0.000
0.188 0.812 0.500
0.687 0.313 0.000
0.812 0.188 0.500
0.313 0.687 0.000
0.408 0.592 0.500
0.592 0.408 0.500
```

total energy	-4.7323	eV/atom
space group	Cmmm
total moment	0.00	μB/f.u.



(5)
A plane-wave DFT calculation with PBE was carried out for a relaxed structure of TbY2Cu4Si4.

Geometry as POSCAR:
```
TbY2Cu4Si4
1.0
-3.781 -6.795 1.195
-1.070 -2.820 7.267
-1.190 5.678 -5.315
Si Cu Y Tb
4 4 2 1
Direct
0.216 0.216 0.000
0.784 0.784 0.000
0.316 0.500 0.816
0.684 0.500 0.184
0.641 0.331 0.310
0.359 0.669 0.690
0.978 0.669 0.310
0.022 0.331 0.690
0.630 0.130 0.500
0.370 0.870 0.500
0.000 0.000 0.000
```

total energy	-5.5600	eV/atom
space group	Immm
total moment	0.00	μB/f.u.



(6)
A plane-wave DFT calculation with PBE was carried out for a relaxed structure of TbZr2Cu4Si4.

Geometry as POSCAR:
```
TbZr2Cu4Si4
1.0
2.140 0.416 7.320
1.417 6.798 3.181
-4.858 -4.844 -3.357
Si Cu Zr Tb
4 4 2 1
Direct
0.780 0.780 0.000
0.318 0.500 0.818
0.682 0.500 0.182
0.220 0.220 0.000
0.979 0.671 0.308
0.363 0.671 0.692
0.637 0.329 0.308
0.021 0.329 0.692
0.376 0.876 0.500
0.624 0.124 0.500
0.000 0.000 0.000
```

total energy	-5.8941	eV/atom
space group	Immm
total moment	0.01	μB/f.u.



(7)
A plane-wave DFT calculation with PBE was carried out for a relaxed structure of CuSiTcTe.

Geometry as POSCAR:
```
CuSiTcTe
1.0
0.000 3.200 3.200
3.200 0.000 3.200
3.200 3.200 0.000
Si Tc Cu Te
1 1 1 1
Direct
0.250 0.250 0.250
0.000 0.000 0.000
0.750 0.750 0.750
0.500 0.500 0.500
```

energy above the most stable polymorph in this dataset	0.267	eV per atom
space group	F-43m
total moment	0.00	μB/f.u.



(8)
A plane-wave DFT calculation with PBE was carried out for a relaxed structure of CuSiTcTe.

Geometry as POSCAR:
```
CuSiTcTe
1.0
0.000 3.177 3.177
3.177 0.000 3.177
3.177 3.177 0.000
Si Te Tc Cu
1 1 1 1
Direct
0.000 0.000 0.000
0.500 0.500 0.500
0.250 0.250 0.250
0.750 0.750 0.750
```

energy above the most stable polymorph in this dataset	0.000	eV per atom
space group	F-43m
total moment	0.07	μB/f.u.



(9)
A plane-wave DFT calculation with PBE was carried out for a relaxed structure of ZrCuSiTc.

Geometry as POSCAR:
```
ZrCuSiTc
1.0
-0.732 -2.401 3.619
-3.329 -2.882 0.094
0.831 -4.325 -0.022
Tc Cu Si Zr
1 1 1 1
Direct
0.250 0.250 0.250
0.750 0.750 0.750
0.000 0.000 0.000
0.500 0.500 0.500
```

energy above the most stable polymorph in this dataset	0.000	eV per atom
space group	F-43m
total moment	0.01	μB/f.u.



(10)
A plane-wave DFT calculation with PBE was carried out for a relaxed structure of ZrCuSiTc.

Geometry as POSCAR:
```
ZrCuSiTc
1.0
-1.047 -3.810 2.061
-2.904 -2.819 -1.867
1.417 -3.889 -1.652
Zr Cu Tc Si
1 1 1 1
Direct
0.250 0.250 0.250
0.750 0.750 0.750
0.500 0.500 0.500
0.000 0.000 0.000
```

energy above the most stable polymorph in this dataset	0.282	eV per atom
space group	F-43m
total moment	0.01	μB/f.u.



(11)
A plane-wave DFT calculation with PBE was carried out for a relaxed structure of Cu3SiTe4.

Geometry as POSCAR:
```
Cu3SiTe4
1.0
-2.959 2.959 5.947
2.959 -2.959 5.947
2.959 2.959 -5.947
Te Cu Si
4 3 1
Direct
0.124 0.124 0.501
0.623 0.623 0.499
0.876 0.377 0.000
0.377 0.876 0.000
0.750 0.250 0.500
0.250 0.750 0.500
0.500 0.500 0.000
0.000 0.000 0.000
```

energy above the most stable polymorph in this dataset	0.000	eV per atom
space group	I-42m



(12)
A plane-wave DFT calculation with PBE was carried out for a relaxed structure of Cu2SiTe3.

Geometry as POSCAR:
```
Cu2SiTe3
1.0
2.153 5.876 3.759
-4.287 -5.023 3.112
6.267 -3.699 -0.062
Te Cu Si
6 4 2
Direct
0.311 0.480 0.126
0.137 0.641 0.633
0.967 0.800 0.137
0.800 0.967 0.637
0.480 0.311 0.626
0.641 0.137 0.133
0.588 0.416 0.999
0.262 0.769 0.005
0.416 0.588 0.499
0.769 0.262 0.505
0.111 0.942 0.522
0.942 0.111 0.022
```

total energy	-3.7918	eV/atom
space group	Cc